No. 1
A relaxed SmTm2Au crystal. Source: Alexandria, functional PBE-GGA.

Calculated values
total magnetic moment: 0.0 Bohr magnetons per cell
crystal system: orthorhombic
E_tot: -4.659 eV/atom

Cell lengths 4.895, 6.431, 7.761 Å; angles 90.00, 90.00, 112.37 degrees
Sites, in units of the cell vectors:
Sm 0.953 0.907 0.250
Sm 0.047 0.093 0.750
Tm 0.354 0.708 0.537
Tm 0.646 0.292 0.463
Tm 0.354 0.708 0.963
Tm 0.646 0.292 0.037
Au 0.795 0.589 0.750
Au 0.205 0.411 0.250



No. 2
A relaxed Sm2TmAu3 crystal. Source: Alexandria, functional PBE-GGA.

Calculated values
total magnetic moment: 0.0 Bohr magnetons per cell
crystal system: orthorhombic
E_tot: -4.781 eV/atom

Cell lengths 3.610, 5.135, 15.542 Å; angles 90.00, 90.00, 90.00 degrees
Sites, in units of the cell vectors:
Sm 0.999 0.000 0.668
Sm 0.999 0.000 0.332
Sm 0.001 0.500 0.168
Sm 0.001 0.500 0.832
Tm 0.999 0.500 0.500
Tm 0.001 0.000 0.000
Au 0.499 0.500 0.657
Au 0.499 0.000 0.500
Au 0.499 0.500 0.343
Au 0.501 0.000 0.157
Au 0.501 0.500 0.000
Au 0.501 0.000 0.843



No. 3
A relaxed SmTm2Au2 crystal. Source: Alexandria, functional PBE-GGA.

Calculated values
total magnetic moment: 0.0 Bohr magnetons per cell
crystal system: tetragonal
E_tot: -4.744 eV/atom

Cell lengths 3.769, 8.160, 8.160 Å; angles 90.00, 90.00, 90.00 degrees
Sites, in units of the cell vectors:
Sm 0.500 0.500 0.000
Sm 0.500 0.000 0.500
Tm 0.000 0.661 0.339
Tm 0.000 0.839 0.839
Tm 0.000 0.161 0.161
Tm 0.000 0.339 0.661
Au 0.500 0.368 0.368
Au 0.500 0.868 0.132
Au 0.500 0.132 0.868
Au 0.500 0.632 0.632



No. 4
A relaxed SmTm3Au4 crystal. Source: Alexandria, functional PBE-GGA.

Calculated values
total magnetic moment: 0.0 Bohr magnetons per cell
crystal system: trigonal
E_tot: -4.768 eV/atom

Cell lengths 5.053, 5.053, 8.840 Å; angles 73.39, 73.39, 60.00 degrees
Sites, in units of the cell vectors:
Tm 0.249 0.249 0.253
Tm 0.751 0.751 0.747
Tm 0.500 0.500 0.500
Au 0.872 0.872 0.383
Au 0.380 0.380 0.861
Au 0.128 0.128 0.617
Au 0.620 0.620 0.139
Sm 0.000 0.000 0.000



No. 5
A relaxed Sm3Tm4Au4 crystal. Source: Alexandria, functional PBE-GGA.

Calculated values
total magnetic moment: 0.0 Bohr magnetons per cell
crystal system: orthorhombic
E_tot: -4.701 eV/atom

Cell lengths 4.817, 7.723, 9.029 Å; angles 115.32, 105.47, 90.00 degrees
Sites, in units of the cell vectors:
Sm 0.104 0.104 0.208
Sm 0.896 0.896 0.792
Sm 0.000 0.500 0.000
Tm 0.327 0.114 0.654
Tm 0.673 0.461 0.346
Tm 0.673 0.886 0.346
Tm 0.327 0.539 0.654
Au 0.207 0.707 0.415
Au 0.793 0.293 0.585
Au 0.500 0.810 0.000
Au 0.500 0.190 0.000



No. 6
A relaxed Sm2TmAu4 crystal. Source: Alexandria, functional PBE-GGA.

Calculated values
total magnetic moment: 0.0 Bohr magnetons per cell
crystal system: tetragonal
E_tot: -4.178 eV/atom

Cell lengths 5.267, 5.267, 8.365 Å; angles 108.35, 108.35, 90.00 degrees
Sites, in units of the cell vectors:
Sm 0.620 0.620 0.240
Sm 0.380 0.380 0.760
Tm 0.000 0.000 0.000
Au 0.814 0.814 0.629
Au 0.186 0.186 0.371
Au 0.000 0.500 0.000
Au 0.500 0.000 0.000



No. 7
A relaxed Sm2TmAu2 crystal. Source: Alexandria, functional PBE-GGA.

Calculated values
total magnetic moment: 0.0 Bohr magnetons per cell
crystal system: orthorhombic
E_tot: -4.714 eV/atom

Cell lengths 4.000, 6.272, 6.272 Å; angles 68.35, 71.41, 71.41 degrees
Sites, in units of the cell vectors:
Sm 0.198 0.302 0.302
Sm 0.802 0.698 0.698
Tm 0.000 0.000 0.000
Au 0.500 0.290 0.710
Au 0.500 0.710 0.290



No. 8
A relaxed SmTmAu6 crystal. Source: Alexandria, functional PBE-GGA.

Calculated values
total magnetic moment: 0.0 Bohr magnetons per cell
crystal system: monoclinic
E_tot: -4.268 eV/atom

Cell lengths 4.556, 5.109, 8.225 Å; angles 82.16, 73.92, 63.52 degrees
Sites, in units of the cell vectors:
Sm 0.000 0.500 0.500
Tm 0.000 0.000 0.000
Au 0.248 0.869 0.635
Au 0.506 0.238 0.750
Au 0.253 0.377 0.117
Au 0.494 0.762 0.250
Au 0.752 0.131 0.365
Au 0.747 0.623 0.883



Number 1: DFT formation energy -40.9 kJ per mole of atoms. Number 2: DFT formation energy -79.5 kJ per mole of atoms. Number 3: DFT formation energy -67.6 kJ per mole of atoms. Number 4: DFT formation energy -83.3 kJ per mole of atoms. Number 5: DFT formation energy -57.5 kJ per mole of atoms. Number 6: DFT formation energy -30.7 kJ per mole of atoms. Number 7: DFT formation energy -59.9 kJ per mole of atoms. Number 8: DFT formation energy -63.7 kJ per mole of atoms.